Record 1
## LiNbP3 (PBE)

Data for a relaxed structure of LiNbP3.

Properties
Calculated formation energy, eV per atom: 0.747
Energy above the most stable polymorph in this dataset, eV per formula unit: 3.22
Total energy, Ry per atom: -0.360
N(E_F), states/eV/f.u.: 3.69

Cell and atoms, written as extended XYZ:
```
5
Lattice="4.263 0.000 0.000 0.000 4.263 0.000 0.000 0.000 4.263" Properties=species:S:1:pos:R:3 pbc="T T T"
P 0.000 2.131 0.000
P 0.000 0.000 2.131
P 2.131 0.000 0.000
Nb 2.131 2.131 2.131
Li 0.000 0.000 0.000
```

Record 2
## LiNbP2Pd (PBE)

Data for a relaxed structure of LiNbP2Pd.

Properties
Calculated formation energy, eV per atom: 0.861
Total energy, Ry per atom: -0.348
N(E_F), states/eV/f.u.: 5.49

Cell and atoms, written as extended XYZ:
```
5
Lattice="4.666 0.000 0.000 0.000 5.056 0.000 0.000 0.000 4.666" Properties=species:S:1:pos:R:3 pbc="T T T"
P 0.000 0.000 2.333
P 2.333 0.000 0.000
Nb 0.000 2.528 0.000
Pd 0.000 0.000 0.000
Li 2.333 2.528 2.333
```

Record 3
## LiNb2PRh (PBE)

Data for a relaxed structure of LiNb2PRh.

Properties
Calculated formation energy, eV per atom: 0.200
Total energy, Ry per atom: -0.497
N(E_F), states/eV/f.u.: 8.18

Cell and atoms, written as extended XYZ:
```
5
Lattice="-1.849 3.471 -2.479 -0.517 -2.503 -3.119 -4.224 -1.113 1.592" Properties=species:S:1:pos:R:3 pbc="T T T"
P 0.000 0.000 0.000
Nb -2.112 -0.556 0.796
Nb -0.925 1.736 -1.240
Rh -3.295 -0.072 -2.003
Li -0.258 -1.252 -1.560
```

Record 4
## LiNbPS2 (PBE)

Data for a relaxed structure of LiNbPS2.

Properties
Raw formation energy, eV per atom: 0.51
Energy above the most stable polymorph in this dataset, eV per formula unit: 4.38
Total energy, Ry per atom: -0.339
N(E_F), states/eV/f.u.: 4.54

Cell and atoms, written as extended XYZ:
```
5
Lattice="-3.568 1.239 2.094 -2.382 -2.539 -2.556 0.490 -3.219 2.740" Properties=species:S:1:pos:R:3 pbc="T T T"
P 0.245 -1.609 1.370
Nb -2.730 -2.259 1.139
S -1.191 -1.270 -1.278
S -1.784 0.620 1.047
Li 0.000 0.000 0.000
```

Record 5
## LiNbPS2 (PBE)

Data for a relaxed structure of LiNbPS2.

Properties
Raw formation energy, eV per atom: -0.36
Energy above the most stable polymorph in this dataset, eV per formula unit: 0.00
Total energy, Ry per atom: -0.404
N(E_F), states/eV/f.u.: 0.43

Cell and atoms, written as extended XYZ:
```
5
Lattice="-1.774 -2.774 -3.526 -0.635 -3.599 3.151 -4.495 1.642 0.969" Properties=species:S:1:pos:R:3 pbc="T T T"
P -2.247 0.821 0.485
Nb 0.000 0.000 0.000
S -0.318 -1.799 1.575
S -0.887 -1.387 -1.763
Li -3.452 -2.365 0.297
```

Record 6
## LiNbP2S (PBE)

Data for a relaxed structure of LiNbP2S.

Properties
Raw formation energy, eV per atom: 0.64
Energy above the most stable polymorph in this dataset, eV per formula unit: 3.63
Total energy, Ry per atom: -0.349
N(E_F), states/eV/f.u.: 3.65

Cell and atoms, written as extended XYZ:
```
5
Lattice="-2.334 3.118 -1.285 -3.242 -1.645 1.897 1.072 2.423 3.933" Properties=species:S:1:pos:R:3 pbc="T T T"
P -1.621 -0.822 0.949
P -1.167 1.559 -0.642
Nb -2.252 1.948 2.273
S 0.536 1.212 1.967
Li 0.000 0.000 0.000
```

Record 7
## LiNbP2S (PBE)

Data for a relaxed structure of LiNbP2S.

Properties
Raw formation energy, eV per atom: -0.09
Energy above the most stable polymorph in this dataset, eV per formula unit: 0.00
Total energy, Ry per atom: -0.402
N(E_F), states/eV/f.u.: 4.19

Cell and atoms, written as extended XYZ:
```
5
Lattice="4.867 0.000 0.000 0.000 4.867 0.000 0.000 0.000 4.813" Properties=species:S:1:pos:R:3 pbc="T T T"
P 0.000 2.433 0.000
P 2.433 0.000 0.000
Nb 0.000 0.000 0.000
S 0.000 0.000 2.406
Li 2.433 2.433 2.406
```

Record 8
## LiNb2SiP (PBE)

Data for a relaxed structure of LiNb2SiP.

Properties
Raw formation energy, eV per atom: 0.85
Total energy, Ry per atom: -0.421
N(E_F), states/eV/f.u.: 6.23

Cell and atoms, written as extended XYZ:
```
5
Lattice="4.748 0.000 0.000 0.000 4.509 0.000 0.000 0.000 4.748" Properties=species:S:1:pos:R:3 pbc="T T T"
P 0.000 2.254 0.000
Nb 0.000 0.000 2.374
Nb 2.374 0.000 0.000
Si 0.000 0.000 0.000
Li 2.374 2.254 2.374
```

Record 9
## LiTiNb2P (PBE)

Data for a relaxed structure of LiTiNb2P.

Properties
Calculated formation energy, eV per atom: 0.525
Total energy, Ry per atom: -0.481
N(E_F), states/eV/f.u.: 2.47

Cell and atoms, written as extended XYZ:
```
5
Lattice="-3.625 -2.564 0.295 1.848 -2.841 -1.987 1.510 -1.695 3.828" Properties=species:S:1:pos:R:3 pbc="T T T"
P 0.924 -1.420 -0.993
Nb 0.755 -0.847 1.914
Nb -1.813 -1.282 0.148
Li 0.000 0.000 0.000
Ti -0.134 -3.550 1.068
```

Record 10
## Li2NbVP (PBE)

Data for a relaxed structure of Li2NbVP.

Properties
Calculated formation energy, eV per atom: 0.754
Total energy, Ry per atom: -0.362
N(E_F), states/eV/f.u.: 3.71

Cell and atoms, written as extended XYZ:
```
5
Lattice="4.256 0.000 0.000 0.000 4.387 0.000 0.000 0.000 4.256" Properties=species:S:1:pos:R:3 pbc="T T T"
P 0.000 2.194 0.000
Nb 2.128 2.194 2.128
Li 0.000 0.000 2.128
Li 2.128 0.000 0.000
V 0.000 0.000 0.000
```

Record 11
## Li2PaNb2S6 (PBE)

Data for a relaxed structure of Li2PaNb2S6.

Properties
Raw formation energy, eV per atom: -1.29
Total energy, Ry per atom: -0.484
N(E_F), states/eV/f.u.: 4.19

Cell and atoms, written as extended XYZ:
```
11
Lattice="6.163 0.092 0.149 -2.966 5.403 0.149 -1.051 -1.807 6.288" Properties=species:S:1:pos:R:3 pbc="T T T"
Li 4.562 1.023 0.149
Li -1.365 4.472 0.149
Pa -0.526 -0.903 3.144
Nb -0.185 2.576 3.293
Nb 2.331 1.112 3.293
S 1.566 2.692 5.016
S -1.621 0.971 4.681
S 0.579 0.996 1.569
S 1.645 -0.929 4.681
S 3.767 2.718 1.904
S 0.501 4.618 1.904
```

Record 12
## Li3PaNb2S6 (PBE)

Data for a relaxed structure of Li3PaNb2S6.

Properties
Raw formation energy, eV per atom: -1.31
Total energy, Ry per atom: -0.464
N(E_F), states/eV/f.u.: 5.35

Cell and atoms, written as extended XYZ:
```
12
Lattice="6.164 0.069 0.019 -3.020 5.374 0.019 -1.027 -1.779 6.377" Properties=species:S:1:pos:R:3 pbc="T T T"
Li -1.960 3.575 3.208
Li 4.076 0.089 3.208
Li 1.058 1.832 3.208
Pa 0.000 0.000 0.000
Nb 0.311 3.450 0.019
Nb 2.833 1.993 0.019
S 3.194 1.769 4.876
S 2.070 3.584 1.728
S -1.078 1.895 1.539
S -0.064 3.650 4.876
S 0.046 0.080 4.688
S 2.180 0.014 1.539
```